# 1
Ta2BeTe | PBE | relaxed

Calculated values
Magnetization   0.0000 μB/atom
N(E_F)   2.83 states/eV/f.u.
SG   No. 12

Structure (POSCAR):
```
Ta2BeTe
1.0
4.862 0.002 -0.003
3.758 3.086 -0.003
0.626 0.224 4.752
Be Te Ta
1 1 2
direct
0.750 0.750 0.750
0.250 0.250 0.250
0.000 0.000 0.978
0.500 0.500 0.522
```

---

# 2
TaBe2Te | PBE | relaxed

Calculated values
Magnetization   0.0000 μB/atom
N(E_F)   1.90 states/eV/f.u.
SG   No. 47

Structure (POSCAR):
```
TaBe2Te
1.0
-3.258 -1.097 1.198
2.008 -1.895 3.724
-0.380 3.047 1.756
Be Te Ta
2 1 1
direct
0.000 0.000 0.000
0.500 0.500 0.000
0.000 0.500 0.500
0.500 0.000 0.500
```

---

# 3
Ta2BeTe | PBE | relaxed

Calculated values
Magnetization   0.0000 μB/atom
N(E_F)   3.17 states/eV/f.u.
SG   No. 123

Structure (POSCAR):
```
Ta2BeTe
1.0
-0.313 1.858 -2.599
-2.025 -2.135 -1.283
-5.127 3.143 2.863
Be Te Ta
1 1 2
direct
0.500 0.500 0.750
0.500 0.500 0.250
0.000 0.000 0.962
0.000 0.000 0.538
```

---

# 4
Ta2BeTe | PBE | relaxed

Calculated values
Magnetization   0.0000 μB/atom
N(E_F)   2.27 states/eV/f.u.
SG   No. 8

Structure (POSCAR):
```
Ta2BeTe
1.0
5.124 -0.001 -0.011
4.140 3.020 -0.011
1.213 0.395 4.483
Be Te Ta
1 1 2
direct
0.757 0.757 0.806
0.482 0.482 0.468
0.029 0.029 0.930
0.232 0.232 0.296
```

---

# 5
TaBe2Te | PBE | relaxed

Calculated values
Magnetization   0.0000 μB/atom
N(E_F)   2.15 states/eV/f.u.
SG   No. 71

Structure (POSCAR):
```
TaBe2Te
1.0
4.966 0.000 -0.047
1.934 4.574 0.047
-3.137 -2.759 2.685
Be Te Ta
2 1 1
direct
0.002 0.002 0.000
0.498 0.498 0.000
0.250 0.750 0.500
0.750 0.250 0.500
```

---

# 6
TaBe2Te | PBE | relaxed

Calculated values
Magnetization   0.0000 μB/atom
N(E_F)   1.59 states/eV/f.u.
SG   No. 99

Structure (POSCAR):
```
TaBe2Te
1.0
-1.811 2.506 -1.323
-0.767 -1.945 -2.633
-4.421 -1.809 2.625
Be Te Ta
2 1 1
direct
0.000 0.000 0.034
0.500 0.500 0.223
0.500 0.500 0.763
0.000 0.000 0.481
```

---

Number 1: formation energy from raw total energies 0.326 eV per atom. Number 2: formation energy from raw total energies 0.424 eV per atom. Number 3: formation energy from raw total energies 0.342 eV per atom. Number 4: formation energy from raw total energies 0.334 eV per atom. Number 5: formation energy from raw total energies 0.597 eV per atom. Number 6: formation energy from raw total energies 0.339 eV per atom.